(1)
The following is a GGA-PBEsol calculation of BeWBr2 after structural relaxation, from Alexandria.

a = 5.5305 Å, b = 6.3056 Å, c = 5.5305 Å
α = 63.99°, β = 90.00°, γ = 116.01°
Fractional positions:
1 W 0.7500 0.5000 0.7500
2 W 0.0000 0.0000 0.0000
3 Br 0.1745 0.7500 0.8750
4 Br 0.5755 0.7500 0.3750
5 Be 0.5000 0.0000 0.5000
6 Br 0.8750 0.2500 0.5755
7 Br 0.3750 0.2500 0.1745
8 Be 0.2500 0.5000 0.2500

Computed properties:
electronic total energy	-4.238	eV/atom
offset from the most stable computed form	0.731	eV per atom
formation energy (no corrections)	4.60	eV per formula unit
crystal system	tetragonal
M_tot	0.00	μB/cell

=====

(2)
The following is a GGA-PBEsol calculation of BeWBr2 after structural relaxation, from Alexandria.

a = 4.7400 Å, b = 4.7400 Å, c = 4.7400 Å
α = 60.00°, β = 60.00°, γ = 60.00°
Fractional positions:
1 Br 0.0000 0.0000 0.0000
2 W 0.2500 0.2500 0.2500
3 Br 0.7500 0.7500 0.7500
4 Be 0.5000 0.5000 0.5000

Computed properties:
electronic total energy	-3.763	eV/atom
offset from the most stable computed form	1.205	eV per atom
formation energy (no corrections)	6.49	eV per formula unit
crystal system	cubic
M_tot	3.78	μB/cell

=====

(3)
The following is a GGA-PBEsol calculation of BeW2Br after structural relaxation, from Alexandria.

a = 2.9644 Å, b = 4.6015 Å, c = 5.2000 Å
α = 116.26°, β = 106.56°, γ = 90.00°
Fractional positions:
1 Be 0.5000 0.0000 0.0000
2 Br 0.0000 0.5000 0.0000
3 W 0.2312 0.2312 0.4625
4 W 0.7688 0.7688 0.5375

Computed properties:
electronic total energy	-7.357	eV/atom
offset from the most stable computed form	0.000	eV per atom
formation energy (no corrections)	4.06	eV per formula unit
crystal system	orthorhombic
M_tot	0.00	μB/cell

=====

(4)
The following is a GGA-PBEsol calculation of BeW2Br after structural relaxation, from Alexandria.

a = 2.9389 Å, b = 4.5183 Å, c = 4.6163 Å
α = 90.00°, β = 90.00°, γ = 90.00°
Fractional positions:
1 Br 0.0000 0.5000 0.5000
2 W 0.5000 0.0000 0.5000
3 W 0.0000 0.0000 0.0000
4 Be 0.5000 0.5000 0.0000

Computed properties:
electronic total energy	-7.308	eV/atom
offset from the most stable computed form	0.049	eV per atom
formation energy (no corrections)	4.25	eV per formula unit
crystal system	orthorhombic
M_tot	0.00	μB/cell

=====

Q: Which formula does entry 3 have?
A: BeW2Br

=====

Q: What is the offset from the most stable computed form in the second record?
A: 1.205 eV per atom

=====

Q: The lowest offset from the most stable computed form belongs to which entry?
A: number 3

=====

Q: M_tot of number 1 (BeWBr2)?
A: 0.00 μB/cell